(1)
Entry from the Alexandria database: a relaxed InCoP2S crystal (PBE-GGA).

- formation energy (no corrections) (eV/atom) = 0.312
- electronic total energy (eV for the cell shown) = -23.2
- E above lowest polymorph (meV per atom) = 0
- SG = P4/mmm
- total magnetic moment (μB/f.u.) = 0.00

Structure (extended XYZ):
```
5
Lattice="-1.455 -2.391 3.172 0.601 -3.472 -2.341 4.801 -0.433 1.875" Properties=species:S:1:pos:R:3 pbc="T T T"
P -0.727 -1.195 1.586
P 0.300 -1.736 -1.170
S 2.400 -0.217 0.937
In 1.974 -3.148 1.353
Co 0.000 0.000 0.000
```


(2)
Entry from the Alexandria database: a relaxed InCoSb2P crystal (PBE-GGA).

- formation energy (no corrections) (eV/atom) = 1.592
- electronic total energy (eV for the cell shown) = -15.5
- SG = P4/mmm
- total magnetic moment (μB/f.u.) = 0.05

Structure (extended XYZ):
```
5
Lattice="-4.236 1.942 3.072 -3.148 -1.684 -3.277 -0.246 -4.860 2.733" Properties=species:S:1:pos:R:3 pbc="T T T"
In 0.000 0.000 0.000
Co -3.815 -2.301 1.264
Sb -2.118 0.971 1.536
Sb -0.123 -2.430 1.367
P -1.574 -0.842 -1.638
```


(3)
Entry from the Alexandria database: a relaxed YIn2CoP crystal (PBE-GGA).

- formation energy from the elements (eV/atom) = 0.501
- electronic total energy (eV for the cell shown) = -22.0
- SG = P4/mmm
- total magnetic moment (μB/f.u.) = 1.70

Structure (extended XYZ):
```
5
Lattice="-1.977 3.943 2.448 -4.356 -0.442 -2.804 -1.919 -3.117 3.471" Properties=species:S:1:pos:R:3 pbc="T T T"
In -0.988 1.972 1.224
In -0.959 -1.559 1.736
P 0.000 0.000 0.000
Co -4.126 0.192 1.558
Y -2.178 -0.221 -1.402
```


(4)
Entry from the Alexandria database: a relaxed PaInCo crystal (PBE-GGA).

- formation energy from the elements (eV/atom) = -0.282
- electronic total energy (eV for the cell shown) = -40.4
- SG = P2_1/m
- total magnetic moment (μB/f.u.) = 0.00

Structure (extended XYZ):
```
6
Lattice="3.382 0.687 -0.549 -0.845 4.038 -0.120 -0.423 0.171 8.681" Properties=species:S:1:pos:R:3 pbc="T T T"
Co 2.608 1.813 7.235
Co -0.494 3.083 0.777
In -0.115 3.244 3.429
In 2.228 1.653 4.583
Pa 0.424 3.456 6.911
Pa 1.689 1.440 1.102
```


(5)
Entry from the Alexandria database: a relaxed Pa2InCo crystal (PBE-GGA).

- formation energy from the elements (eV/atom) = -0.182
- electronic total energy (eV for the cell shown) = -29.6
- E above lowest polymorph (meV per atom) = 0
- SG = P4/mmm
- total magnetic moment (μB/f.u.) = 0.00

Structure (extended XYZ):
```
4
Lattice="3.147 0.000 0.000 0.000 3.147 0.000 0.000 0.000 8.591" Properties=species:S:1:pos:R:3 pbc="T T T"
Pa 0.000 0.000 1.746
Pa 0.000 0.000 6.844
In 1.573 1.573 4.295
Co 1.573 1.573 0.000
```


(6)
Entry from the Alexandria database: a relaxed Pa2In8Co crystal (PBE-GGA).

- formation energy from the elements (eV/atom) = -0.117
- electronic total energy (eV for the cell shown) = -49.3
- SG = P4/mmm
- total magnetic moment (μB/f.u.) = 0.30

Structure (extended XYZ):
```
11
Lattice="-0.742 -4.491 0.836 0.461 -0.916 -4.513 11.850 -1.671 1.548" Properties=species:S:1:pos:R:3 pbc="T T T"
Co 0.000 0.000 0.000
In 3.515 -3.219 -1.361
In 8.054 -3.858 -0.768
In 6.155 -1.293 -1.482
In 5.554 -3.081 1.192
In 10.062 -3.716 1.781
In 1.647 -0.658 -2.071
In 1.046 -2.445 0.603
In 10.664 -1.929 -0.893
Pa 3.627 -0.511 0.474
Pa 8.224 -1.159 1.075
```